Record 1
VASP calculation (PBE) on BeCrS2 after structural relaxation.

E_form (uncorrected) ... -0.05 eV/atom
Volume ... 199.4 Å³/cell

```
data_BeCrS2
_chemical_formula_sum 'Be3 Cr3 S6'
_cell_length_a 3.3158
_cell_length_b 3.3158
_cell_length_c 20.9391
_cell_angle_alpha 90.00
_cell_angle_beta 90.00
_cell_angle_gamma 120.00
_symmetry_space_group_name_H-M 'R -3 m'
_symmetry_Int_Tables_number 166
_symmetry_space_group_name_Hall '-R 3 2"'
loop_
_atom_site_label
_atom_site_type_symbol
_atom_site_fract_x
_atom_site_fract_y
_atom_site_fract_z
Be1 Be 0.0000 0.0000 0.0000
Cr1 Cr 0.0000 0.0000 0.5000
S1 S 0.0000 0.0000 0.3924
```



Record 2
VASP calculation (PBE) on BeCrS2 after structural relaxation.

E_form (uncorrected) ... -0.18 eV/atom
Volume ... 172.0 Å³/cell

```
data_BeCrS2
_chemical_formula_sum 'Be3 Cr3 S6'
_cell_length_a 3.0945
_cell_length_b 3.0945
_cell_length_c 20.7457
_cell_angle_alpha 90.00
_cell_angle_beta 90.00
_cell_angle_gamma 120.00
_symmetry_space_group_name_H-M 'R -3 m'
_symmetry_Int_Tables_number 166
_symmetry_space_group_name_Hall '-R 3 2"'
loop_
_atom_site_label
_atom_site_type_symbol
_atom_site_fract_x
_atom_site_fract_y
_atom_site_fract_z
Be1 Be 0.0000 0.0000 0.0000
Cr1 Cr 0.0000 0.0000 0.5000
S1 S 0.0000 0.0000 0.0959
```



Record 3
VASP calculation (PBE) on Be2CrS after structural relaxation.

E_form (uncorrected) ... 0.33 eV/atom
Volume ... 177.9 Å³/cell

```
data_Be2CrS
_chemical_formula_sum 'Be8 Cr4 S4'
_cell_length_a 6.287
_cell_length_b 6.287
_cell_length_c 4.502
_cell_angle_alpha 90.00
_cell_angle_beta 90.00
_cell_angle_gamma 90.00
_symmetry_space_group_name_H-M 'I -4 2 d'
_symmetry_Int_Tables_number 122
_symmetry_space_group_name_Hall 'I -4 2bw'
loop_
_atom_site_label
_atom_site_type_symbol
_atom_site_fract_x
_atom_site_fract_y
_atom_site_fract_z
Be1 Be 0.205 0.250 0.125
Cr1 Cr 0.000 0.000 0.500
S1 S 0.000 0.000 0.000
```



Record 4
VASP calculation (PBE) on BeCrS2 after structural relaxation.

E_form (uncorrected) ... -0.65 eV/atom
Volume ... 275.7 Å³/cell

```
data_BeCrS2
_chemical_formula_sum 'Be4 Cr4 S8'
_cell_length_a 5.346
_cell_length_b 5.346
_cell_length_c 9.646
_cell_angle_alpha 90.00
_cell_angle_beta 90.00
_cell_angle_gamma 90.00
_symmetry_space_group_name_H-M 'I -4 2 d'
_symmetry_Int_Tables_number 122
_symmetry_space_group_name_Hall 'I -4 2bw'
loop_
_atom_site_label
_atom_site_type_symbol
_atom_site_fract_x
_atom_site_fract_y
_atom_site_fract_z
Be1 Be 0.000 0.000 0.000
Cr1 Cr 0.000 0.000 0.500
S1 S 0.207 0.250 0.125
```



Record 5
VASP calculation (PBE) on BeCr4S2 after structural relaxation.

E_form (uncorrected) ... 0.37 eV/atom
Volume ... 196.1 Å³/cell

```
data_BeCr4S2
_chemical_formula_sum 'Be2 Cr8 S4'
_cell_length_a 4.045
_cell_length_b 4.045
_cell_length_c 11.986
_cell_angle_alpha 90.00
_cell_angle_beta 90.00
_cell_angle_gamma 90.00
_symmetry_space_group_name_H-M 'I 4/m m m'
_symmetry_Int_Tables_number 139
_symmetry_space_group_name_Hall '-I 4 2'
loop_
_atom_site_label
_atom_site_type_symbol
_atom_site_fract_x
_atom_site_fract_y
_atom_site_fract_z
Be1 Be 0.000 0.000 0.000
Cr1 Cr 0.000 0.000 0.186
Cr2 Cr 0.000 0.500 0.000
S1 S 0.000 0.000 0.382
```



Record 6
VASP calculation (PBE) on BeCr2S after structural relaxation.

E_form (uncorrected) ... 0.28 eV/atom
Volume ... 184.8 Å³/cell

```
data_BeCr2S
_chemical_formula_sum 'Be4 Cr8 S4'
_cell_length_a 3.350
_cell_length_b 3.350
_cell_length_c 16.471
_cell_angle_alpha 90.00
_cell_angle_beta 90.00
_cell_angle_gamma 90.00
_symmetry_space_group_name_H-M 'I -4 2 d'
_symmetry_Int_Tables_number 122
_symmetry_space_group_name_Hall 'I -4 2bw'
loop_
_atom_site_label
_atom_site_type_symbol
_atom_site_fract_x
_atom_site_fract_y
_atom_site_fract_z
Be1 Be 0.000 0.000 0.000
Cr1 Cr 0.248 0.250 0.625
S1 S 0.000 0.000 0.500
```



Record 7
VASP calculation (PBE) on ScBe2CrS after structural relaxation.

E_form (uncorrected) ... 0.40 eV/atom
Volume ... 70.8 Å³/cell

```
data_ScBe2CrS
_chemical_formula_sum 'Sc1 Be2 Cr1 S1'
_cell_length_a 4.108
_cell_length_b 4.108
_cell_length_c 4.197
_cell_angle_alpha 90.00
_cell_angle_beta 90.00
_cell_angle_gamma 90.00
_symmetry_space_group_name_H-M 'P 4/m m m'
_symmetry_Int_Tables_number 123
_symmetry_space_group_name_Hall '-P 4 2'
loop_
_atom_site_label
_atom_site_type_symbol
_atom_site_fract_x
_atom_site_fract_y
_atom_site_fract_z
Sc1 Sc 0.000 0.000 0.000
Be1 Be 0.000 0.500 0.500
Cr1 Cr 0.500 0.500 0.000
S1 S 0.500 0.500 0.500
```



Record 8
VASP calculation (PBE) on Sm3BeCrS7 after structural relaxation.

E_form (uncorrected) ... -1.59 eV/atom
Volume ... 501.0 Å³/cell

```
data_Sm3BeCrS7
_chemical_formula_sum 'Sm6 Be2 Cr2 S14'
_cell_length_a 9.7505
_cell_length_b 9.7505
_cell_length_c 6.0849
_cell_angle_alpha 90.00
_cell_angle_beta 90.00
_cell_angle_gamma 120.00
_symmetry_space_group_name_H-M 'P 63'
_symmetry_Int_Tables_number 173
loop_
_symmetry_equiv_pos_as_xyz
'x,y,z'
'x-y,x,z+1/2'
'-y,x-y,z'
'-x,-y,z+1/2'
'-x+y,-x,z'
'y,-x+y,z+1/2'
loop_
_atom_site_label
_atom_site_type_symbol
_atom_site_fract_x
_atom_site_fract_y
_atom_site_fract_z
Sm1 Sm 0.1547 0.7615 0.0000
Be1 Be 0.3333 0.6667 0.5884
Cr1 Cr 0.0000 0.0000 0.1770
S1 S 0.0906 0.8676 0.4214
S2 S 0.1028 0.5236 0.7167
S3 S 0.3333 0.6667 0.2407
```



Record 9
VASP calculation (PBE) on TaBeCrS2 after structural relaxation.

E_form (uncorrected) ... 0.96 eV/atom
Volume ... 73.5 Å³/cell

```
data_TaBeCrS2
_chemical_formula_sum 'Ta1 Be1 Cr1 S2'
_cell_length_a 4.107
_cell_length_b 4.107
_cell_length_c 4.356
_cell_angle_alpha 90.00
_cell_angle_beta 90.00
_cell_angle_gamma 90.00
_symmetry_space_group_name_H-M 'P 4/m m m'
_symmetry_Int_Tables_number 123
_symmetry_space_group_name_Hall '-P 4 2'
loop_
_atom_site_label
_atom_site_type_symbol
_atom_site_fract_x
_atom_site_fract_y
_atom_site_fract_z
Ta1 Ta 0.000 0.000 0.000
Be1 Be 0.000 0.000 0.500
Cr1 Cr 0.500 0.500 0.000
S1 S 0.000 0.500 0.500
```



Record 10
VASP calculation (PBE) on Y3BeCrS7 after structural relaxation.

E_form (uncorrected) ... -1.58 eV/atom
Volume ... 481.9 Å³/cell

```
data_Y3BeCrS7
_chemical_formula_sum 'Y6 Be2 Cr2 S14'
_cell_length_a 9.5826
_cell_length_b 9.5826
_cell_length_c 6.0597
_cell_angle_alpha 90.00
_cell_angle_beta 90.00
_cell_angle_gamma 120.00
_symmetry_space_group_name_H-M 'P 63'
_symmetry_Int_Tables_number 173
loop_
_symmetry_equiv_pos_as_xyz
'x,y,z'
'x-y,x,z+1/2'
'-y,x-y,z'
'-x,-y,z+1/2'
'-x+y,-x,z'
'y,-x+y,z+1/2'
loop_
_atom_site_label
_atom_site_type_symbol
_atom_site_fract_x
_atom_site_fract_y
_atom_site_fract_z
Y1 Y 0.1550 0.7602 0.0000
Be1 Be 0.3333 0.6667 0.5875
Cr1 Cr 0.0000 0.0000 0.1700
S1 S 0.0955 0.8688 0.4138
S2 S 0.1010 0.5219 0.7205
S3 S 0.3333 0.6667 0.2384
```



Record 11
VASP calculation (PBE) on ZrBeCr2S after structural relaxation.

E_form (uncorrected) ... 0.63 eV/atom
Volume ... 74.0 Å³/cell

```
data_ZrBeCr2S
_chemical_formula_sum 'Zr1 Be1 Cr2 S1'
_cell_length_a 4.305
_cell_length_b 4.305
_cell_length_c 3.992
_cell_angle_alpha 90.00
_cell_angle_beta 90.00
_cell_angle_gamma 90.00
_symmetry_space_group_name_H-M 'P 4/m m m'
_symmetry_Int_Tables_number 123
_symmetry_space_group_name_Hall '-P 4 2'
loop_
_atom_site_label
_atom_site_type_symbol
_atom_site_fract_x
_atom_site_fract_y
_atom_site_fract_z
Zr1 Zr 0.000 0.000 0.000
Be1 Be 0.500 0.500 0.500
Cr1 Cr 0.000 0.500 0.500
S1 S 0.500 0.500 0.000
```



Record 12
VASP calculation (PBE) on BeCr2Sb after structural relaxation.

E_form (uncorrected) ... 0.42 eV/atom
Volume ... 208.1 Å³/cell

```
data_BeCr2Sb
_chemical_formula_sum 'Be4 Cr8 Sb4'
_cell_length_a 5.926
_cell_length_b 5.926
_cell_length_c 5.926
_cell_angle_alpha 90.00
_cell_angle_beta 90.00
_cell_angle_gamma 90.00
_symmetry_space_group_name_H-M 'F -4 3 m'
_symmetry_Int_Tables_number 216
_symmetry_space_group_name_Hall 'F -4 2 3'
loop_
_atom_site_label
_atom_site_type_symbol
_atom_site_fract_x
_atom_site_fract_y
_atom_site_fract_z
Be1 Be 0.000 0.000 0.000
Cr1 Cr 0.000 0.000 0.500
Cr2 Cr 0.250 0.250 0.250
Sb1 Sb 0.250 0.250 0.750
```